[1]
First-principles (GGA-PBE) data for Bi2SbPd7Pb2 after structural relaxation, as listed in the Alexandria database.

## Properties
VASP energy	-58.539	eV per cell
magnetization	0.000	Bohr magnetons per cell

The structure in POSCAR format:
```
Bi2SbPd7Pb2
1.0
4.044 -0.002 -0.082
0.003 4.044 -0.082
1.570 1.568 15.636
Pd Sb Bi Pb
7 1 2 2
direct
0.960 0.460 0.128 Pd
0.650 0.650 0.568 Pd
0.040 0.540 0.872 Pd
0.540 0.040 0.872 Pd
0.500 0.500 0.000 Pd
0.350 0.350 0.432 Pd
0.460 0.960 0.128 Pd
0.000 0.000 0.000 Sb
0.132 0.132 0.598 Bi
0.868 0.868 0.402 Bi
0.422 0.422 0.252 Pb
0.578 0.578 0.748 Pb
```

=====

[2]
First-principles (GGA-PBE) data for BiSb2Pd7Pb2 after structural relaxation, as listed in the Alexandria database.

## Properties
VASP energy	-58.435	eV per cell
magnetization	0.000	Bohr magnetons per cell

The structure in POSCAR format:
```
BiSb2Pd7Pb2
1.0
-3.004 0.721 -2.560
-1.693 -3.494 1.013
-11.492 5.424 10.615
Pd Pb Sb Bi
7 2 2 1
direct
0.096 0.595 0.866 Pd
0.405 0.904 0.134 Pd
0.595 0.096 0.866 Pd
0.781 0.781 0.573 Pd
0.219 0.219 0.427 Pd
0.904 0.405 0.134 Pd
0.500 0.500 0.000 Pd
0.319 0.319 0.255 Pb
0.681 0.681 0.745 Pb
0.279 0.279 0.583 Sb
0.721 0.721 0.417 Sb
0.000 0.000 0.000 Bi
```